Here is a relaxed PtIN2O crystal from Alexandria via LeMat-Bulk. Energies are from PBE-GGA.

## Properties
The final energy is -4.592 eV/atom. Its uncorrected formation energy is 1248 meV per atom.

Cell lengths 3.679, 3.679, 8.653 Å; angles 90.00, 90.00, 90.00 degrees
Fractional positions:
Pt: 0.000 0.000 0.000
I: 0.000 0.000 0.500
N: 0.000 0.500 0.000
N: 0.500 0.000 0.000
O: 0.500 0.500 0.500

Here is a relaxed PtIN2O crystal from Alexandria via LeMat-Bulk. Energies are from PBE-GGA.

## Properties
The final energy is -4.495 eV/atom. Its uncorrected formation energy is 1345 meV per atom.

Cell lengths 4.001, 4.001, 4.114 Å; angles 90.00, 90.00, 90.00 degrees
Fractional positions:
Pt: 0.000 0.000 0.000
I: 0.500 0.500 0.500
N: 0.000 0.500 0.000
N: 0.500 0.000 0.000
O: 0.000 0.000 0.500

Here is a relaxed Pu2INO crystal from Alexandria via LeMat-Bulk. Energies are from PBE-GGA.

## Properties
The final energy is -10.440 eV/atom. Its uncorrected formation energy is -1741 meV per atom.

Cell lengths 6.687, 6.687, 9.790 Å; angles 117.71, 117.71, 34.13 degrees
Fractional positions:
Pu: 0.033 0.033 0.287
Pu: 0.348 0.348 0.951
Pu: 0.652 0.652 0.049
Pu: 0.967 0.967 0.713
I: 0.328 0.328 0.378
I: 0.672 0.672 0.622
N: 0.464 0.464 0.828
N: 0.536 0.536 0.172
O: 0.153 0.153 0.930
O: 0.847 0.847 0.070

Here is a relaxed RbI2NO crystal from Alexandria via LeMat-Bulk. Energies are from PBE-GGA.

## Properties
The final energy is -2.131 eV/atom. Its uncorrected formation energy is 1339 meV per atom.

Cell lengths 7.030, 7.030, 6.211 Å; angles 90.00, 90.00, 90.00 degrees
Fractional positions:
Rb: 0.000 0.000 0.000
I: 0.000 0.500 0.000
I: 0.500 0.000 0.000
N: 0.000 0.000 0.500
O: 0.500 0.500 0.500

Here is a relaxed RbI2NO crystal from Alexandria via LeMat-Bulk. Energies are from PBE-GGA.

## Properties
The final energy is -2.833 eV/atom. Its uncorrected formation energy is 637 meV per atom.

Cell lengths 4.766, 4.766, 6.297 Å; angles 90.00, 90.00, 90.00 degrees
Fractional positions:
Rb: 0.000 0.000 0.000
I: 0.000 0.500 0.500
I: 0.500 0.000 0.500
N: 0.500 0.500 0.500
O: 0.500 0.500 0.000

Here is a relaxed RbI2NO crystal from Alexandria via LeMat-Bulk. Energies are from PBE-GGA.

## Properties
The final energy is -2.821 eV/atom. Its uncorrected formation energy is 649 meV per atom.

Cell lengths 4.921, 4.921, 5.859 Å; angles 90.00, 90.00, 90.00 degrees
Fractional positions:
Rb: 0.000 0.000 0.000
I: 0.000 0.500 0.500
I: 0.500 0.000 0.500
N: 0.500 0.500 0.000
O: 0.500 0.500 0.500

Here is a relaxed RbI2NO crystal from Alexandria via LeMat-Bulk. Energies are from PBE-GGA.

## Properties
The final energy is -2.239 eV/atom. Its uncorrected formation energy is 1232 meV per atom.

Cell lengths 7.202, 7.202, 5.729 Å; angles 90.00, 90.00, 90.00 degrees
Fractional positions:
Rb: 0.000 0.000 0.000
I: 0.000 0.500 0.000
I: 0.500 0.000 0.000
N: 0.500 0.500 0.500
O: 0.000 0.000 0.500

Here is a relaxed RuINO2 crystal from Alexandria via LeMat-Bulk. Energies are from PBE-GGA.

## Properties
The final energy is -5.322 eV/atom. Its uncorrected formation energy is 491 meV per atom.

Cell lengths 3.657, 3.657, 6.145 Å; angles 90.00, 90.00, 90.00 degrees
Fractional positions:
Ru: 0.000 0.000 0.000
I: 0.000 0.000 0.500
N: 0.500 0.500 0.500
O: 0.000 0.500 0.000
O: 0.500 0.000 0.000

Here is a relaxed RuIN2O crystal from Alexandria via LeMat-Bulk. Energies are from PBE-GGA.

## Properties
The final energy is -4.130 eV/atom. Its uncorrected formation energy is 2357 meV per atom.

Cell lengths 3.887, 3.887, 4.189 Å; angles 90.00, 90.00, 90.00 degrees
Fractional positions:
Ru: 0.000 0.000 0.000
I: 0.500 0.500 0.000
N: 0.000 0.500 0.500
N: 0.500 0.000 0.500
O: 0.500 0.500 0.500

Here is a relaxed RuINO2 crystal from Alexandria via LeMat-Bulk. Energies are from PBE-GGA.

## Properties
The final energy is -4.206 eV/atom. Its uncorrected formation energy is 1607 meV per atom.

Cell lengths 3.875, 3.875, 4.253 Å; angles 90.00, 90.00, 90.00 degrees
Fractional positions:
Ru: 0.000 0.000 0.000
I: 0.500 0.500 0.000
N: 0.500 0.500 0.500
O: 0.000 0.500 0.500
O: 0.500 0.000 0.500

Here is a relaxed RuIN2O crystal from Alexandria via LeMat-Bulk. Energies are from PBE-GGA.

## Properties
The final energy is -5.569 eV/atom. Its uncorrected formation energy is 918 meV per atom.

Cell lengths 3.981, 3.981, 3.967 Å; angles 90.00, 90.00, 90.00 degrees
Fractional positions:
Ru: 0.000 0.000 0.000
I: 0.500 0.500 0.500
N: 0.000 0.500 0.000
N: 0.500 0.000 0.000
O: 0.000 0.000 0.500

Here is a relaxed RuINO2 crystal from Alexandria via LeMat-Bulk. Energies are from PBE-GGA.

## Properties
The final energy is -4.458 eV/atom. Its uncorrected formation energy is 1355 meV per atom.

Cell lengths 4.092, 4.092, 4.218 Å; angles 90.00, 90.00, 90.00 degrees
Fractional positions:
Ru: 0.000 0.000 0.000
I: 0.500 0.500 0.500
N: 0.500 0.500 0.000
O: 0.000 0.500 0.500
O: 0.500 0.000 0.500

Here is a relaxed RuIN2O crystal from Alexandria via LeMat-Bulk. Energies are from PBE-GGA.

## Properties
The final energy is -4.477 eV/atom. Its uncorrected formation energy is 2010 meV per atom.

Cell lengths 4.098, 4.098, 4.044 Å; angles 90.00, 90.00, 90.00 degrees
Fractional positions:
Ru: 0.000 0.000 0.000
I: 0.500 0.500 0.500
N: 0.000 0.500 0.500
N: 0.500 0.000 0.500
O: 0.500 0.500 0.000

Here is a relaxed RuIN2O crystal from Alexandria via LeMat-Bulk. Energies are from PBE-GGA.

## Properties
The final energy is -5.493 eV/atom. Its uncorrected formation energy is 994 meV per atom.

Cell lengths 3.703, 3.703, 5.821 Å; angles 90.00, 90.00, 90.00 degrees
Fractional positions:
Ru: 0.000 0.000 0.000
I: 0.000 0.000 0.500
N: 0.000 0.500 0.000
N: 0.500 0.000 0.000
O: 0.500 0.500 0.500

Here is a relaxed RuINO2 crystal from Alexandria via LeMat-Bulk. Energies are from PBE-GGA.

## Properties
The final energy is -5.444 eV/atom. Its uncorrected formation energy is 369 meV per atom.

Cell lengths 3.968, 3.968, 4.009 Å; angles 90.00, 90.00, 90.00 degrees
Fractional positions:
Ru: 0.000 0.000 0.000
I: 0.500 0.500 0.500
N: 0.000 0.000 0.500
O: 0.000 0.500 0.000
O: 0.500 0.000 0.000

Here is a relaxed Sb2INO crystal from Alexandria via LeMat-Bulk. Energies are from PBE-GGA.

## Properties
The final energy is -3.565 eV/atom. Its uncorrected formation energy is 1050 meV per atom.

Cell lengths 4.773, 4.773, 4.660 Å; angles 90.00, 90.00, 90.00 degrees
Fractional positions:
Sb: 0.000 0.500 0.000
Sb: 0.500 0.000 0.000
I: 0.000 0.000 0.500
N: 0.000 0.000 0.000
O: 0.500 0.500 0.500

Here is a relaxed SbIN2O crystal from Alexandria via LeMat-Bulk. Energies are from PBE-GGA.

## Properties
The final energy is -3.932 eV/atom. Its uncorrected formation energy is 1524 meV per atom.

Cell lengths 3.863, 3.863, 7.000 Å; angles 90.00, 90.00, 90.00 degrees
Fractional positions:
Sb: 0.000 0.000 0.000
I: 0.000 0.000 0.500
N: 0.000 0.500 0.000
N: 0.500 0.000 0.000
O: 0.500 0.500 0.500

Here is a relaxed Sb2INO crystal from Alexandria via LeMat-Bulk. Energies are from PBE-GGA.

## Properties
The final energy is -3.508 eV/atom. Its uncorrected formation energy is 1107 meV per atom.

Cell lengths 4.560, 4.560, 5.973 Å; angles 90.00, 90.00, 90.00 degrees
Fractional positions:
Sb: 0.000 0.500 0.000
Sb: 0.500 0.000 0.000
I: 0.000 0.000 0.500
N: 0.500 0.500 0.500
O: 0.000 0.000 0.000

Here is a relaxed SbIN2O crystal from Alexandria via LeMat-Bulk. Energies are from PBE-GGA.

## Properties
The final energy is -4.487 eV/atom. Its uncorrected formation energy is 969 meV per atom.

Cell lengths 4.220, 4.220, 3.933 Å; angles 90.00, 90.00, 90.00 degrees
Fractional positions:
Sb: 0.000 0.000 0.000
I: 0.500 0.500 0.500
N: 0.000 0.500 0.000
N: 0.500 0.000 0.000
O: 0.000 0.000 0.500

Here is a relaxed SbIN2O crystal from Alexandria via LeMat-Bulk. Energies are from PBE-GGA.

## Properties
The final energy is -3.387 eV/atom. Its uncorrected formation energy is 2069 meV per atom.

Cell lengths 4.301, 4.301, 4.165 Å; angles 90.00, 90.00, 90.00 degrees
Fractional positions:
Sb: 0.000 0.000 0.000
I: 0.500 0.500 0.000
N: 0.000 0.500 0.500
N: 0.500 0.000 0.500
O: 0.500 0.500 0.500